Entry from Alexandria: crystalline BeIn2O2 at its relaxed geometry (PBE-GGA).

Geometry as CIF:
```
data_BeIn2O2
_symmetry_space_group_name_H-M 'I 4/m m m'
_symmetry_Int_Tables_number 139
_symmetry_space_group_name_Hall '-I 4 2'
_cell_length_a 3.906
_cell_length_b 3.906
_cell_length_c 10.208
_cell_angle_alpha 90.00
_cell_angle_beta 90.00
_cell_angle_gamma 90.00
loop_
_atom_site_label
_atom_site_type_symbol
_atom_site_fract_x
_atom_site_fract_y
_atom_site_fract_z
Be1 Be 0.000 0.000 0.000
In1 In 0.000 0.000 0.355
O1 O 0.000 0.500 0.250
```

Properties
Calculated total energy, eV/atom: -4.255
Raw formation energy, meV/atom: -431
Theoretical density, Mg/m³: 5.77